LaSnPt, relaxed, DFT GGA-PBE; crystal system = orthorhombic; M_tot = 0.00 μB/atom; SG = Pnma, No. 62; V = 73 Å³/f.u.; uncorrected energy = -72.719 eV/cell
1.0
7.605 0.000 0.000
0.000 4.715 0.000
0.000 0.000 8.139
La Sn Pt
4 4 4
Cartesian
0.121 1.179 1.580
3.682 3.536 5.650
3.924 1.179 2.489
7.484 3.536 6.559
1.323 1.179 4.742
2.479 3.536 0.672
5.126 1.179 7.467
6.282 3.536 3.397
1.602 3.536 3.323
2.201 1.179 7.392
5.404 3.536 0.747
6.003 1.179 4.816